Zn2TcSeF (GGA-PBE, relaxed); ΔE_f (raw) = 0.270 eV/atom; SG = P4/mmm
1.0
4.323 0.000 0.000
0.000 4.323 0.000
0.000 0.000 4.518
Zn Tc Se F
2 1 1 1
Cartesian
0.000 2.162 0.000 Zn
2.162 0.000 0.000 Zn
0.000 0.000 2.259 Tc
2.162 2.162 2.259 Se
0.000 0.000 0.000 F

---

TcSb2Rh (GGA-PBE, relaxed); ΔE_f (raw) = 0.067 eV/atom; SG = C2/m
1.0
8.405 0.000 0.000
0.000 3.257 0.000
-1.244 0.000 5.387
Tc Sb Rh
2 4 2
Cartesian
0.000 0.000 0.000 Tc
4.203 1.629 0.000 Tc
1.782 1.629 1.308 Sb
1.177 0.000 4.079 Sb
5.985 0.000 1.308 Sb
5.379 1.629 4.079 Sb
-0.622 1.629 2.693 Rh
3.581 0.000 2.693 Rh

---

- ΔE_f (raw) of number 1 (Zn2TcSeF)?
  0.270 eV/atom